Entry P
Material: Ca2CuW2
Method: DFT, GGA-PBE
State: relaxed

a = 3.883 Å, b = 3.883 Å, c = 7.743 Å
α = 75.48°, β = 75.48°, γ = 90.00°
Atoms (fractional coordinates):
Ca1 0.750 0.250 0.500
Ca2 0.250 0.750 0.500
Cu1 0.000 0.000 0.000
W1 0.423 0.423 0.153
W2 0.577 0.577 0.847

## Properties
Space group ... I4/mmm, No. 139

---

Entry Q
Material: Ca2CuW2
Method: DFT, GGA-PBE
State: relaxed

a = 6.627 Å, b = 6.627 Å, c = 5.061 Å
α = 90.00°, β = 90.00°, γ = 90.00°
Atoms (fractional coordinates):
Ca1 0.173 0.673 0.500
Ca2 0.673 0.827 0.500
Ca3 0.827 0.327 0.500
Ca4 0.327 0.173 0.500
Cu1 0.000 0.000 0.000
Cu2 0.500 0.500 0.000
W1 0.373 0.873 0.000
W2 0.873 0.627 0.000
W3 0.627 0.127 0.000
W4 0.127 0.373 0.000

## Properties
Space group ... P4/mbm, No. 127

---

Which structure is the least stable? The one labeled entry P.

---

Entry P
Material: CaY2Cu
Method: DFT, GGA-PBE
State: relaxed

a = 4.115 Å, b = 5.124 Å, c = 5.124 Å
α = 90.00°, β = 90.00°, γ = 90.00°
Atoms (fractional coordinates):
Y1 0.000 0.000 0.000
Y2 0.000 0.500 0.500
Ca1 0.500 0.500 0.000
Cu1 0.500 0.000 0.500

## Properties
Space group ... P4/mmm, No. 123

---

Entry Q
Material: CaY2Cu
Method: DFT, GGA-PBE
State: relaxed

a = 3.992 Å, b = 5.237 Å, c = 5.279 Å
α = 90.00°, β = 90.00°, γ = 90.00°
Atoms (fractional coordinates):
Y1 0.000 0.000 0.000
Y2 0.500 0.500 0.000
Ca1 0.500 0.000 0.500
Cu1 0.000 0.500 0.500

## Properties
Space group ... Pmmm, No. 47

---

Entry R
Material: CaY2Cu
Method: DFT, GGA-PBE
State: relaxed

a = 6.595 Å, b = 6.595 Å, c = 5.386 Å
α = 65.87°, β = 65.87°, γ = 32.13°
Atoms (fractional coordinates):
Y1 0.945 0.945 0.055
Y2 0.749 0.749 0.751
Ca1 0.550 0.550 0.451
Cu1 0.256 0.256 0.242

## Properties
Space group ... Cm, No. 8

---

Entry S
Material: CaY2Cu
Method: DFT, GGA-PBE
State: relaxed

a = 5.383 Å, b = 5.383 Å, c = 5.383 Å
α = 60.00°, β = 60.00°, γ = 60.00°
Atoms (fractional coordinates):
Y1 0.000 0.000 0.000
Y2 0.250 0.250 0.250
Ca1 0.500 0.500 0.500
Cu1 0.750 0.750 0.750

## Properties
Space group ... F-43m, No. 216

---

Which structure is the least stable? The one labeled entry S.

---

Entry P
Material: CaY2Cu
Method: DFT, GGA-PBE
State: relaxed

a = 5.338 Å, b = 5.338 Å, c = 5.338 Å
α = 60.00°, β = 60.00°, γ = 60.00°
Atoms (fractional coordinates):
Y1 0.250 0.250 0.250
Y2 0.750 0.750 0.750
Ca1 0.000 0.000 0.000
Cu1 0.500 0.500 0.500

## Properties
Space group ... Fm-3m, No. 225

---

Entry Q
Material: CaY2Cu
Method: DFT, GGA-PBE
State: relaxed

a = 6.666 Å, b = 6.666 Å, c = 5.538 Å
α = 65.44°, β = 65.44°, γ = 30.87°
Atoms (fractional coordinates):
Y1 0.948 0.948 0.052
Y2 0.552 0.552 0.448
Ca1 0.750 0.750 0.750
Cu1 0.250 0.250 0.250

## Properties
Space group ... Immm, No. 71

---

Which structure is the least stable? The one labeled entry P.

---

Entry P
Material: CaY2Cu
Method: DFT, GGA-PBE
State: relaxed

a = 3.541 Å, b = 3.541 Å, c = 9.284 Å
α = 90.00°, β = 90.00°, γ = 90.00°
Atoms (fractional coordinates):
Y1 0.000 0.000 0.929
Y2 0.000 0.000 0.571
Ca1 0.500 0.500 0.250
Cu1 0.500 0.500 0.750

## Properties
Space group ... P4/mmm, No. 123

---

Entry Q
Material: CaY2Cu
Method: DFT, GGA-PBE
State: relaxed

a = 6.189 Å, b = 6.189 Å, c = 6.189 Å
α = 136.73°, β = 136.73°, γ = 62.86°
Atoms (fractional coordinates):
Y1 0.000 0.000 0.000
Y2 0.250 0.750 0.500
Ca1 0.500 0.500 0.000
Cu1 0.750 0.250 0.500

## Properties
Space group ... I-4m2, No. 119

---

Entry R
Material: CaY2Cu
Method: DFT, GGA-PBE
State: relaxed

a = 10.192 Å, b = 10.192 Å, c = 10.192 Å
α = 21.06°, β = 21.06°, γ = 21.06°
Atoms (fractional coordinates):
Y1 0.017 0.017 0.017
Y2 0.255 0.255 0.255
Ca1 0.481 0.481 0.481
Cu1 0.747 0.747 0.747

## Properties
Space group ... R3m, No. 160

---

Entry S
Material: CaY2Cu
Method: DFT, GGA-PBE
State: relaxed

a = 3.518 Å, b = 3.518 Å, c = 9.162 Å
α = 90.00°, β = 90.00°, γ = 89.99°
Atoms (fractional coordinates):
Y1 0.000 0.000 0.944
Y2 0.500 0.500 0.228
Ca1 0.000 0.000 0.558
Cu1 0.500 0.500 0.769

## Properties
Space group ... P4mm, No. 99

---

Which structure is the least stable? The one labeled entry Q.